# 1
Compound: K3Tb2YS6
Source: Alexandria
Functional: PBE
Structure: optimized geometry

uncorrected energy = -5.538 eV/atom

abc: 7.0426 7.0426 7.7385
angles: 98.73 98.73 120.00
Fractional positions:
K 0.1668 0.8332 0.5000
K 0.5000 0.5000 0.5000
K 0.8332 0.1668 0.5000
S 0.4001 0.0674 0.2023
S 0.9326 0.5999 0.7977
S 0.5999 0.9326 0.7977
S 0.2652 0.2652 0.7977
S 0.7348 0.7348 0.2023
S 0.0674 0.4001 0.2023
Y 0.0000 0.0000 0.0000
Tb 0.6666 0.3334 0.0000
Tb 0.3334 0.6666 0.0000

***

# 2
Compound: AcTbEr2
Source: Alexandria
Functional: PBE
Structure: optimized geometry

uncorrected energy = -4.271 eV/atom
formation enthalpy at 0 K = 0.195 eV per atom

abc: 3.5592 3.5592 12.7947
angles: 82.00 82.00 60.00
Fractional positions:
Er 0.9073 0.9073 0.2780
Er 0.0927 0.0927 0.7220
Ac 0.0000 0.0000 0.0000
Tb 0.5000 0.5000 0.5000

***

# 3
Compound: Sm4ErMg7
Source: Alexandria
Functional: PBE
Structure: optimized geometry

uncorrected energy = -2.751 eV/atom
formation enthalpy at 0 K = 0.132 eV per atom

abc: 5.7090 10.9770 6.4072
angles: 87.58 63.54 74.93
Fractional positions:
Mg 0.5000 0.0000 0.0000
Mg 0.0747 0.6879 0.1628
Mg 0.6277 0.5003 0.2443
Mg 0.3723 0.4997 0.7557
Mg 0.7797 0.9229 0.5177
Mg 0.9253 0.3121 0.8372
Mg 0.2203 0.0771 0.4823
Sm 0.7729 0.6627 0.7914
Sm 0.2271 0.3373 0.2086
Sm 0.6208 0.2195 0.5389
Sm 0.3792 0.7805 0.4611
Er 0.0000 0.0000 0.0000

***

# 4
Compound: SbTe2HRu
Source: Alexandria
Functional: PBE
Structure: optimized geometry

uncorrected energy = -3.728 eV/atom

abc: 5.3083 5.3083 5.0569
angles: 90.00 90.00 90.00
Fractional positions:
Sb 0.0000 0.0000 0.5000
H 0.5000 0.5000 0.5000
Te 0.0000 0.5000 0.0000
Te 0.5000 0.0000 0.0000
Ru 0.0000 0.0000 0.0000

***

# 5
Compound: ZrTeBr2
Source: Alexandria
Functional: PBE
Structure: optimized geometry

uncorrected energy = -4.538 eV/atom

abc: 8.2991 8.2991 8.2991
angles: 157.03 142.68 44.28
Fractional positions:
Br 0.7433 0.2433 0.5000
Br 0.1066 0.1066 0.0000
Zr 0.2465 0.7465 0.5000
Te 0.4036 0.4036 0.0000

***

# 6
Compound: CaZrN2
Source: Alexandria
Functional: PBE
Structure: optimized geometry

uncorrected energy = -8.113 eV/atom

abc: 5.4200 5.4200 6.0504
angles: 63.39 63.39 90.00
Fractional positions:
N 0.0769 0.6250 0.2500
N 0.8750 0.9231 0.7500
N 0.6731 0.1250 0.2500
N 0.3750 0.3269 0.7500
Ca 0.2500 0.7500 0.5000
Ca 0.5000 0.5000 0.0000
Zr 0.0000 0.0000 0.0000
Zr 0.7500 0.2500 0.5000

***

# 7
Compound: ZrNiP2
Source: Alexandria
Functional: PBE
Structure: optimized geometry

uncorrected energy = -6.755 eV/atom
formation enthalpy at 0 K = -0.467 eV per atom

abc: 3.2996 3.2996 5.9612
angles: 90.00 90.00 108.86
Fractional positions:
P 0.0000 0.0000 0.9547
P 0.0000 0.0000 0.5453
Zr 0.5000 0.5000 0.2500
Ni 0.5000 0.5000 0.7500

***

# 8
Compound: MgAgN2
Source: Alexandria
Functional: PBE
Structure: optimized geometry

uncorrected energy = -4.255 eV/atom

abc: 6.7989 6.7989 6.7989
angles: 25.78 25.78 25.78
Fractional positions:
N 0.1011 0.1011 0.1011
N 0.8989 0.8989 0.8989
Mg 0.5000 0.5000 0.5000
Ag 0.0000 0.0000 0.0000

***

# 9
Compound: ZrHgW2
Source: Alexandria
Functional: PBE
Structure: optimized geometry

uncorrected energy = -8.269 eV/atom
formation enthalpy at 0 K = 0.420 eV per atom

abc: 2.8176 4.3344 6.0962
angles: 90.00 90.00 90.00
Fractional positions:
W 0.5000 0.5000 0.2304
W 0.0000 0.0000 0.0208
Hg 0.5000 0.5000 0.7531
Zr 0.0000 0.0000 0.4956

***

# 10
Compound: CdSnSeBr2
Source: Alexandria
Functional: PBE
Structure: optimized geometry

uncorrected energy = -2.547 eV/atom

abc: 5.3268 5.3268 5.4714
angles: 90.00 90.00 90.00
Fractional positions:
Sn 0.5000 0.5000 0.5000
Br 0.0000 0.5000 0.0000
Br 0.5000 0.0000 0.0000
Se 0.0000 0.0000 0.5000
Cd 0.0000 0.0000 0.0000

***

# 11
Compound: Zn3H2Pd6
Source: Alexandria
Functional: PBE
Structure: optimized geometry

uncorrected energy = -4.055 eV/atom

abc: 3.8779 3.8779 10.3482
angles: 100.80 100.80 90.00
Fractional positions:
H 0.4159 0.4159 0.8319
H 0.5841 0.5841 0.1681
Pd 0.9130 0.4130 0.8260
Pd 0.3026 0.3026 0.6052
Pd 0.5870 0.0870 0.1740
Pd 0.4130 0.9130 0.8260
Pd 0.0870 0.5870 0.1740
Pd 0.6974 0.6974 0.3948
Zn 0.0000 0.0000 0.0000
Zn 0.8214 0.8214 0.6429
Zn 0.1786 0.1786 0.3571

***

# 12
Compound: AcTb3Nd12
Source: Alexandria
Functional: PBE
Structure: optimized geometry

uncorrected energy = -4.682 eV/atom
formation enthalpy at 0 K = 0.019 eV per atom

abc: 5.1989 5.1989 20.8024
angles: 90.00 90.00 90.00
Fractional positions:
Nd 0.5000 0.0000 0.1306
Nd 0.5000 0.5000 0.5000
Nd 0.5000 0.5000 0.0000
Nd 0.5000 0.5000 0.2547
Nd 0.0000 0.5000 0.8694
Nd 0.0000 0.5000 0.6231
Nd 0.5000 0.0000 0.6231
Nd 0.0000 0.5000 0.1306
Nd 0.5000 0.0000 0.8694
Nd 0.0000 0.5000 0.3769
Nd 0.5000 0.0000 0.3769
Nd 0.5000 0.5000 0.7453
Tb 0.0000 0.0000 0.2534
Tb 0.0000 0.0000 0.7466
Tb 0.0000 0.0000 0.5000
Ac 0.0000 0.0000 0.0000

***

# 13
Compound: LiBe2SiS4
Source: Alexandria
Functional: PBE
Structure: optimized geometry

uncorrected energy = -4.664 eV/atom

abc: 5.0738 5.0738 6.7328
angles: 116.23 116.23 89.91
Fractional positions:
Li 0.0161 0.0161 0.9978
S 0.6029 0.6029 0.7033
S 0.3701 0.8593 0.2725
S 0.1340 0.1340 0.7346
S 0.8593 0.3701 0.2725
Be 0.7407 0.2465 0.4983
Be 0.2465 0.7407 0.4983
Si 0.5307 0.5307 0.0234

***

# 14
Compound: Ca4Ga
Source: Alexandria
Functional: PBE
Structure: optimized geometry

uncorrected energy = -2.281 eV/atom
formation enthalpy at 0 K = -0.074 eV per atom

abc: 5.8613 5.8613 5.8613
angles: 90.00 90.00 90.00
Fractional positions:
Ca 0.0000 0.5000 0.5000
Ca 0.5000 0.0000 0.5000
Ca 0.5000 0.5000 0.0000
Ca 0.0000 0.0000 0.0000
Ga 0.5000 0.5000 0.5000

***

# 15
Compound: ScSiPb2
Source: Alexandria
Functional: PBE
Structure: optimized geometry

uncorrected energy = -4.696 eV/atom

abc: 3.4315 5.3732 5.3289
angles: 90.00 90.00 90.00
Fractional positions:
Sc 0.5000 0.0000 0.5000
Pb 0.0000 0.0000 0.0000
Pb 0.5000 0.5000 0.0000
Si 0.0000 0.5000 0.5000

***

# 16
Compound: AcAl3Cu
Source: Alexandria
Functional: PBE
Structure: optimized geometry

uncorrected energy = -3.960 eV/atom
formation enthalpy at 0 K = -0.073 eV per atom

abc: 4.8167 6.8020 6.7957
angles: 90.00 90.00 90.00
Fractional positions:
Ac 0.5000 0.0000 0.0000
Ac 0.5000 0.5000 0.5000
Al 0.0000 0.7501 0.7501
Al 0.0000 0.2501 0.7499
Al 0.5000 0.0000 0.5000
Al 0.0000 0.7499 0.2501
Al 0.5000 0.5000 0.0000
Al 0.0000 0.2499 0.2499
Cu 0.0000 0.5000 0.0000
Cu 0.0000 0.0000 0.5000

***

# 17
Compound: BeBSb2Te
Source: Alexandria
Functional: PBE
Structure: optimized geometry

uncorrected energy = -3.274 eV/atom

abc: 4.8316 4.8316 4.7774
angles: 90.00 90.00 90.00
Fractional positions:
Te 0.0000 0.0000 0.5000
B 0.0000 0.0000 0.0000
Sb 0.5000 0.0000 0.0000
Sb 0.0000 0.5000 0.0000
Be 0.5000 0.5000 0.5000

***

# 18
Compound: Tl2OsBr
Source: Alexandria
Functional: PBE
Structure: optimized geometry

uncorrected energy = -3.786 eV/atom

abc: 3.4042 4.2436 7.9809
angles: 90.00 90.00 90.00
Fractional positions:
Os 0.5000 0.5000 0.9118
Br 0.0000 0.0000 0.4588
Tl 0.0000 0.0000 0.8735
Tl 0.5000 0.5000 0.2559

***

# 19
Compound: Co2Si2I
Source: Alexandria
Functional: PBE
Structure: optimized geometry

uncorrected energy = -5.051 eV/atom

abc: 7.0562 7.0562 2.9821
angles: 90.00 90.00 90.00
Fractional positions:
Si 0.6289 0.8711 0.5000
Si 0.8711 0.3711 0.5000
Si 0.3711 0.1289 0.5000
Si 0.1289 0.6289 0.5000
Co 0.6371 0.1371 0.0000
Co 0.3629 0.8629 0.0000
Co 0.8629 0.6371 0.0000
Co 0.1371 0.3629 0.0000
I 0.0000 0.0000 0.0000
I 0.5000 0.5000 0.0000

***

# 20
Compound: ErLuGaTc
Source: Alexandria
Functional: PBE
Structure: optimized geometry

uncorrected energy = -5.911 eV/atom
formation enthalpy at 0 K = -0.292 eV per atom

abc: 4.8742 4.8742 4.8742
angles: 60.00 60.00 60.00
Fractional positions:
Tc 0.7500 0.7500 0.7500
Ga 0.2500 0.2500 0.2500
Er 0.0000 0.0000 0.0000
Lu 0.5000 0.5000 0.5000

***

# 21
Compound: CaTeSeF
Source: Alexandria
Functional: PBE
Structure: optimized geometry

uncorrected energy = -4.339 eV/atom

abc: 5.0423 4.5090 10.6524
angles: 90.00 90.00 90.00
Fractional positions:
Te 0.0000 0.0000 0.4671
Te 0.0000 0.5000 0.9671
F 0.5000 0.0000 0.7670
F 0.5000 0.5000 0.2670
Se 0.0000 0.5000 0.5948
Se 0.0000 0.0000 0.0948
Ca 0.5000 0.0000 0.2617
Ca 0.5000 0.5000 0.7617

***

# 22
Compound: CaNpCl6
Source: Alexandria
Functional: PBE
Structure: optimized geometry

uncorrected energy = -5.157 eV/atom

abc: 6.8204 6.8209 7.3522
angles: 62.33 62.28 59.92
Fractional positions:
Np 0.0000 0.0000 0.0000
Cl 0.0952 0.3878 0.7561
Cl 0.7608 0.0953 0.7564
Cl 0.3883 0.7603 0.7562
Cl 0.9048 0.6122 0.2439
Cl 0.6117 0.2397 0.2438
Cl 0.2392 0.9047 0.2436
Ca 0.5000 0.5000 0.5000

***

# 23
Compound: CsTl2V2S7
Source: Alexandria
Functional: PBE
Structure: optimized geometry

uncorrected energy = -4.994 eV/atom

abc: 6.5707 6.5707 11.8984
angles: 73.97 73.97 60.00
Fractional positions:
Tl 0.6947 0.6947 0.9158
Tl 0.3053 0.3053 0.0842
S 0.6015 0.2082 0.2629
S 0.3985 0.0725 0.7371
S 0.7918 0.3985 0.7371
S 0.0725 0.7918 0.7371
S 0.2082 0.9275 0.2629
S 0.9275 0.6015 0.2629
S 0.0000 0.0000 0.0000
Cs 0.5000 0.5000 0.5000
V 0.9340 0.9340 0.1982
V 0.0660 0.0660 0.8018

***

# 24
Compound: PmCdInGa
Source: Alexandria
Functional: PBE
Structure: optimized geometry

uncorrected energy = -3.278 eV/atom
formation enthalpy at 0 K = -0.421 eV per atom

abc: 4.4916 4.4906 4.7070
angles: 90.00 90.00 90.00
Fractional positions:
Pm 0.0000 0.5000 0.5000
Ga 0.5000 0.0000 0.5000
In 0.5000 0.5000 0.0000
Cd 0.0000 0.0000 0.0000

***

# 25
Compound: Ag4BiTe
Source: Alexandria
Functional: PBE
Structure: optimized geometry

uncorrected energy = -2.955 eV/atom

abc: 5.7168 5.7168 5.7168
angles: 60.00 60.00 60.00
Fractional positions:
Ag 0.6254 0.6254 0.1239
Ag 0.1239 0.6254 0.6254
Ag 0.6254 0.6254 0.6254
Ag 0.6254 0.1239 0.6254
Bi 0.0000 0.0000 0.0000
Te 0.2500 0.2500 0.2500